Entry 1:
# TiBMo2Ir

TiBMo2Ir after structural relaxation (GGA-PBE, Alexandria).

```
data_TiBMo2Ir
_cell_length_a 4.203
_cell_length_b 4.203
_cell_length_c 4.113
_cell_angle_alpha 90.00
_cell_angle_beta 90.00
_cell_angle_gamma 90.00
_symmetry_space_group_name_H-M 'P 1'
_symmetry_Int_Tables_number 1
_symmetry_space_group_name_Hall 'P 1'
loop_
_atom_site_label
_atom_site_type_symbol
_atom_site_fract_x
_atom_site_fract_y
_atom_site_fract_z
_atom_site_occupancy
Ti1 Ti 0.000 0.000 0.000 1
B1 B 0.500 0.500 0.500 1
Mo1 Mo 0.000 0.500 0.500 1
Mo2 Mo 0.500 0.000 0.500 1
Ir1 Ir 0.500 0.500 0.000 1
```

Calculated formation energy: -0.103 eV per atom
Space-group type: P4/mmm (123)

***

Entry 2:
# Zr2BMoIr

Zr2BMoIr after structural relaxation (GGA-PBE, Alexandria).

```
data_Zr2BMoIr
_cell_length_a 5.103
_cell_length_b 5.103
_cell_length_c 3.914
_cell_angle_alpha 90.00
_cell_angle_beta 90.00
_cell_angle_gamma 90.00
_symmetry_space_group_name_H-M 'P 1'
_symmetry_Int_Tables_number 1
_symmetry_space_group_name_Hall 'P 1'
loop_
_atom_site_label
_atom_site_type_symbol
_atom_site_fract_x
_atom_site_fract_y
_atom_site_fract_z
_atom_site_occupancy
Zr1 Zr 0.000 0.500 0.000 1
Zr2 Zr 0.500 0.000 0.000 1
B1 B 0.000 0.000 0.500 1
Mo1 Mo 0.500 0.500 0.500 1
Ir1 Ir 0.000 0.000 0.000 1
```

Calculated formation energy: 0.658 eV per atom
Space-group type: P4/mmm (123)

***

Entry 3:
# B3IrN

B3IrN after structural relaxation (GGA-PBE, Alexandria).

```
data_B3IrN
_cell_length_a 4.104
_cell_length_b 4.104
_cell_length_c 4.104
_cell_angle_alpha 90.00
_cell_angle_beta 90.00
_cell_angle_gamma 90.00
_symmetry_space_group_name_H-M 'P 1'
_symmetry_Int_Tables_number 1
_symmetry_space_group_name_Hall 'P 1'
loop_
_atom_site_label
_atom_site_type_symbol
_atom_site_fract_x
_atom_site_fract_y
_atom_site_fract_z
_atom_site_occupancy
B1 B 0.000 0.000 0.500 1
B2 B 0.000 0.500 0.000 1
B3 B 0.500 0.000 0.000 1
Ir1 Ir 0.000 0.000 0.000 1
N1 N 0.500 0.500 0.500 1
```

Uncorrected formation energy: 1.70 eV/atom
ΔE to the lowest computed polymorph: 0.325 eV/atom
Space-group type: Pm-3m (221)

***

Entry 4:
# BIrN

BIrN after structural relaxation (GGA-PBE, Alexandria).

```
data_BIrN
_cell_length_a 2.957
_cell_length_b 2.957
_cell_length_c 8.830
_cell_angle_alpha 103.12
_cell_angle_beta 103.12
_cell_angle_gamma 53.89
_symmetry_space_group_name_H-M 'P 1'
_symmetry_Int_Tables_number 1
_symmetry_space_group_name_Hall 'P 1'
loop_
_atom_site_label
_atom_site_type_symbol
_atom_site_fract_x
_atom_site_fract_y
_atom_site_fract_z
_atom_site_occupancy
B1 B 0.000 0.000 0.000 1
B2 B 0.650 0.650 0.249 1
Ir1 Ir 0.165 0.165 0.696 1
Ir2 Ir 0.396 0.396 0.409 1
N1 N 0.560 0.560 0.076 1
N2 N 0.902 0.902 0.827 1
```

Uncorrected formation energy: -0.20 eV/atom
Space-group type: Cm (8)

***

Entry 5:
# B3IrN

B3IrN after structural relaxation (GGA-PBE, Alexandria).

```
data_B3IrN
_cell_length_a 3.444
_cell_length_b 3.444
_cell_length_c 3.444
_cell_angle_alpha 90.00
_cell_angle_beta 90.00
_cell_angle_gamma 90.00
_symmetry_space_group_name_H-M 'P 1'
_symmetry_Int_Tables_number 1
_symmetry_space_group_name_Hall 'P 1'
loop_
_atom_site_label
_atom_site_type_symbol
_atom_site_fract_x
_atom_site_fract_y
_atom_site_fract_z
_atom_site_occupancy
B1 B 0.000 0.000 0.500 1
B2 B 0.000 0.500 0.000 1
B3 B 0.500 0.000 0.000 1
Ir1 Ir 0.500 0.500 0.500 1
N1 N 0.000 0.000 0.000 1
```

Uncorrected formation energy: 1.38 eV/atom
ΔE to the lowest computed polymorph: 0.000 eV/atom
Space-group type: Pm-3m (221)

***

Entry 6:
# B6IrN6

B6IrN6 after structural relaxation (GGA-PBE, Alexandria).

```
data_B6IrN6
_cell_length_a 4.589
_cell_length_b 4.589
_cell_length_c 4.589
_cell_angle_alpha 90.00
_cell_angle_beta 90.00
_cell_angle_gamma 90.00
_symmetry_space_group_name_H-M 'P 1'
_symmetry_Int_Tables_number 1
_symmetry_space_group_name_Hall 'P 1'
loop_
_atom_site_label
_atom_site_type_symbol
_atom_site_fract_x
_atom_site_fract_y
_atom_site_fract_z
_atom_site_occupancy
B1 B 0.000 0.243 0.500 1
B2 B 0.000 0.757 0.500 1
B3 B 0.243 0.500 0.000 1
B4 B 0.500 0.000 0.243 1
B5 B 0.500 0.000 0.757 1
B6 B 0.757 0.500 0.000 1
Ir1 Ir 0.000 0.000 0.000 1
N1 N 0.000 0.500 0.254 1
N2 N 0.000 0.500 0.746 1
N3 N 0.254 0.000 0.500 1
N4 N 0.500 0.254 0.000 1
N5 N 0.500 0.746 0.000 1
N6 N 0.746 0.000 0.500 1
```

Uncorrected formation energy: -0.07 eV/atom
Space-group type: Pm-3 (200)